(1)
This record from Alexandria describes a geometry-optimized Ta2HgSb structure. The functional is PBE.

abc: 10.7366 10.7366 10.7366
angles: 158.05 158.05 31.24
Element x y z (fractional)
Ta 0.1228 0.6250 0.9978
Ta 0.3750 0.3728 0.4978
Ta 0.6272 0.1250 0.0022
Ta 0.8750 0.8772 0.5022
Hg 0.2500 0.7500 0.5000
Hg 0.5000 0.5000 0.0000
Sb 0.0000 0.0000 0.0000
Sb 0.7500 0.2500 0.5000

Space group = I-42d (122)
VASP energy = -6.4009 eV per atom
Fermi-level density of states = 1.020 states/eV/atom
Size of the total moment = 0.00 μB/f.u.
Energy above the most stable polymorph in this dataset = 434 meV per atom

***

(2)
This record from Alexandria describes a geometry-optimized Ta2HgSb structure. The functional is PBE.

abc: 4.3207 4.3207 4.2478
angles: 90.00 90.00 90.00
Element x y z (fractional)
Ta 0.0000 0.5000 0.0000
Ta 0.5000 0.0000 0.0000
Hg 0.0000 0.0000 0.5000
Sb 0.5000 0.5000 0.5000

Space group = P4/mmm (123)
VASP energy = -6.5646 eV per atom
Fermi-level density of states = 0.742 states/eV/atom
Size of the total moment = 0.00 μB/f.u.
Energy above the most stable polymorph in this dataset = 270 meV per atom

***

(3)
This record from Alexandria describes a geometry-optimized TaHgSb2 structure. The functional is PBE.

abc: 3.1384 4.8767 5.9824
angles: 90.00 90.00 90.00
Element x y z (fractional)
Ta 0.0000 0.0000 0.0000
Hg 0.5000 0.5000 0.3094
Sb 0.0000 0.0000 0.4920
Sb 0.5000 0.5000 0.8314

Space group = Pmm2 (25)
VASP energy = -4.6847 eV per atom
Fermi-level density of states = 0.742 states/eV/atom
Size of the total moment = 0.00 μB/f.u.

***

(4)
This record from Alexandria describes a geometry-optimized Ta2HgSb structure. The functional is PBE.

abc: 4.8853 4.8853 4.8853
angles: 60.00 60.00 60.00
Element x y z (fractional)
Ta 0.0000 0.0000 0.0000
Ta 0.2500 0.2500 0.2500
Hg 0.5000 0.5000 0.5000
Sb 0.7500 0.7500 0.7500

Space group = F-43m (216)
VASP energy = -6.3381 eV per atom
Fermi-level density of states = 0.829 states/eV/atom
Size of the total moment = 0.00 μB/f.u.
Energy above the most stable polymorph in this dataset = 497 meV per atom

***

(5)
This record from Alexandria describes a geometry-optimized TaHgSb2 structure. The functional is PBE.

abc: 3.1389 3.1389 10.3500
angles: 90.00 90.00 107.95
Element x y z (fractional)
Ta 0.0000 0.0000 0.0000
Hg 0.5000 0.5000 0.2172
Sb 0.0000 0.0000 0.4508
Sb 0.5000 0.5000 0.7874

Space group = Cmm2 (35)
VASP energy = -4.8010 eV per atom
Fermi-level density of states = 0.572 states/eV/atom
Size of the total moment = 0.00 μB/f.u.

***

(6)
This record from Alexandria describes a geometry-optimized TaHgSb2 structure. The functional is PBE.

abc: 3.0946 3.0946 10.3785
angles: 90.00 90.00 90.00
Element x y z (fractional)
Ta 0.0000 0.0000 0.0000
Hg 0.5000 0.5000 0.2029
Sb 0.0000 0.0000 0.4458
Sb 0.5000 0.5000 0.7953

Space group = P4mm (99)
VASP energy = -4.7653 eV per atom
Fermi-level density of states = 0.819 states/eV/atom
Size of the total moment = 0.00 μB/f.u.

***

(7)
This record from Alexandria describes a geometry-optimized TaHgSb2Te structure. The functional is PBE.

abc: 5.3692 5.3692 5.4380
angles: 90.00 90.00 90.00
Element x y z (fractional)
Ta 0.0000 0.0000 0.0000
Hg 0.5000 0.5000 0.5000
Sb 0.0000 0.5000 0.5000
Sb 0.5000 0.0000 0.5000
Te 0.5000 0.5000 0.0000

Space group = P4/mmm (123)
VASP energy = -3.1394 eV per atom
Fermi-level density of states = 1.566 states/eV/atom
Size of the total moment = 0.07 μB/f.u.
Energy above the most stable polymorph in this dataset = 1282 meV per atom

***

(8)
This record from Alexandria describes a geometry-optimized TaHgSbTe2 structure. The functional is PBE.

abc: 5.4024 5.4024 5.5040
angles: 90.00 90.00 90.00
Element x y z (fractional)
Ta 0.0000 0.0000 0.0000
Hg 0.5000 0.5000 0.5000
Sb 0.0000 0.0000 0.5000
Te 0.0000 0.5000 0.0000
Te 0.5000 0.0000 0.0000

Space group = P4/mmm (123)
VASP energy = -4.3048 eV per atom
Fermi-level density of states = 0.612 states/eV/atom
Size of the total moment = 0.00 μB/f.u.
Energy above the most stable polymorph in this dataset = 0 meV per atom

***

Among the records above, which one has the highest Fermi-level density of states?
TaHgSb2Te

***

Which value of size of the total moment does entry 2 give?
0.00 μB/f.u.